Entry 1:
## Ho2AlBr (PBE-GGA)

Data for an optimized crystal structure of Ho2AlBr.

The uncorrected energy is -4.2867 eV/atom. The calculation puts the density at 7.20 g/cm3. For the formation energy (no corrections), the calculation gives -0.64 eV per atom.

The space group is R3m (No. 160, hexagonal axes) and the conventional cell measures 3.6276, 3.6276 and 26.5303 Å, with angles of 90.00, 90.00 and 120.00 degrees. Symmetry generates all atoms from Ho at (0.0000, 0.0000, 0.0000), Ho at (0.0000, 0.0000, 0.1720), Al at (0.0000, 0.0000, 0.5863) and Br at (0.0000, 0.0000, 0.4175).


Entry 2:
## Mg4SbAu5 (PBE-GGA)

Data for an optimized crystal structure of Mg4SbAu5.

The uncorrected energy is -3.1630 eV/atom. The calculation puts the density at 10.55 g/cm3. For the formation energy (no corrections), the calculation gives -0.47 eV per atom.

The space group is P4/mmm (No. 123) and the conventional cell measures 3.365, 3.365 and 16.725 Å, with angles of 90.00, 90.00 and 90.00 degrees. Symmetry generates all atoms from Mg at (0.000, 0.000, 0.096), Mg at (0.000, 0.000, 0.288), Sb at (0.000, 0.000, 0.500), Au at (0.500, 0.500, 0.000), Au at (0.500, 0.500, 0.193) and Au at (0.500, 0.500, 0.379).


Entry 3:
## Nd2Dy4ThSc (PBE-GGA)

Data for an optimized crystal structure of Nd2Dy4ThSc.

The uncorrected energy is -5.0748 eV/atom. The calculation puts the density at 7.96 g/cm3. The calculation puts the formation enthalpy at 0 K at 137 meV/atom.

The space group is P4/mmm (No. 123) and the conventional cell measures 5.868, 5.868 and 7.366 Å, with angles of 90.00, 90.00 and 90.00 degrees. Symmetry generates all atoms from Nd at (0.000, 0.000, 0.000), Nd at (0.500, 0.500, 0.000), Dy at (0.000, 0.500, 0.260), Th at (0.000, 0.000, 0.500) and Sc at (0.500, 0.500, 0.500).


Entry 4:
## Tl2InW (PBE-GGA)

Data for an optimized crystal structure of Tl2InW.

The uncorrected energy is -4.1807 eV/atom. The calculation puts the density at 12.98 g/cm3. The calculation puts the formation enthalpy at 0 K at 925 meV/atom.

The space group is P4/mmm (No. 123) and the conventional cell measures 5.404, 5.404 and 3.098 Å, with angles of 90.00, 90.00 and 90.00 degrees. Symmetry generates all atoms from Tl at (0.000, 0.500, 0.000), In at (0.000, 0.000, 0.500) and W at (0.500, 0.500, 0.500).


Entry 5:
## Hf2Re3Tc (PBE-GGA)

Data for an optimized crystal structure of Hf2Re3Tc.

The uncorrected energy is -11.6136 eV/atom. The calculation puts the density at 16.26 g/cm3. The calculation puts the formation enthalpy at 0 K at -344 meV/atom.

The space group is C2/m (No. 12) and the conventional cell measures 9.074, 5.259 and 5.305 Å, with angles of 90.00, 125.15 and 90.00 degrees. Symmetry generates all atoms from Hf at (0.124, 0.000, 0.373), Re at (0.000, 0.500, 0.000), Re at (0.250, 0.250, 0.000) and Tc at (0.000, 0.500, 0.500).


Entry 6:
## K4TlCo (PBE-GGA)

Data for an optimized crystal structure of K4TlCo.

The uncorrected energy is -1.5383 eV/atom. The calculation puts the density at 2.52 g/cm3. The calculation puts the formation enthalpy at 0 K at 772 meV/atom.

The space group is F-43m (No. 216) and the conventional cell measures 10.348, 10.348 and 10.348 Å, with angles of 90.00, 90.00 and 90.00 degrees. Symmetry generates all atoms from K at (0.124, 0.124, 0.376), Tl at (0.000, 0.000, 0.000) and Co at (0.250, 0.250, 0.750).


Which value of uncorrected energy does entry 1 give?
-4.2867 eV/atom